<w>
Here is a geometry-optimized TbGa4Cu2 structure from Alexandria. Energies are from PBE.

a = 4.267 Å, b = 6.585 Å, c = 16.841 Å
α = 90.00°, β = 90.00°, γ = 90.00°
Sites, in units of the cell vectors:
Ga 0.250 0.219 0.191
Ga 0.750 0.841 0.467
Cu 0.250 0.755 0.536
Cu 0.750 0.025 0.218
Ga 0.750 0.719 0.309
Ga 0.250 0.281 0.691
Cu 0.250 0.745 0.036
Cu 0.750 0.255 0.964
Ga 0.750 0.514 0.570
Tb 0.250 0.010 0.360
Cu 0.750 0.475 0.718
Ga 0.750 0.320 0.316
Ga 0.750 0.781 0.809
Ga 0.250 0.159 0.533
Ga 0.250 0.680 0.684
Tb 0.750 0.510 0.140
Ga 0.750 0.659 0.967
Tb 0.250 0.490 0.860
Ga 0.250 0.014 0.930
Ga 0.250 0.820 0.184
Cu 0.250 0.525 0.282
Ga 0.750 0.180 0.816
Ga 0.750 0.986 0.070
Ga 0.250 0.486 0.430
Tb 0.750 0.990 0.640
Cu 0.750 0.245 0.464
Ga 0.250 0.341 0.033
Cu 0.250 0.975 0.782

Calculated values
The calculation puts the density of states at the Fermi level at 0.34 states/eV/atom.

<x>
Here is a geometry-optimized TbGa4Cu2 structure from Alexandria. Energies are from PBE.

a = 4.222 Å, b = 4.231 Å, c = 7.184 Å
α = 107.13°, β = 90.00°, γ = 90.00°
Sites, in units of the cell vectors:
Ga 0.500 0.180 0.359
Cu 0.500 0.413 0.827
Tb 0.000 0.000 0.000
Cu 0.500 0.587 0.173
Ga 0.000 0.319 0.637
Ga 0.000 0.681 0.363
Ga 0.500 0.820 0.641

Calculated values
The calculation puts the density of states at the Fermi level at 0.32 states/eV/atom.

Which one is most stable, and which one is least stable? <w> is the most stable of them, while <x> is the least stable.

<w>
Here is a geometry-optimized GaCu3Tc structure from Alexandria. Energies are from PBE.

a = 4.700 Å, b = 4.700 Å, c = 4.700 Å
α = 90.00°, β = 90.00°, γ = 90.00°
Last column: magnetic moment on the atom in μB.
Sites, in units of the cell vectors:
Cu 0.500 0.000 0.000  0.07
Tc 0.000 0.000 0.000  1.18
Cu 0.000 0.000 0.500  0.26
Ga 0.500 0.500 0.500  0.01
Cu 0.000 0.500 0.000  0.12

Calculated values
The calculation puts the density of states at the Fermi level at 0.93 states/eV/atom.

<x>
Here is a geometry-optimized GaCu3Tc structure from Alexandria. Energies are from PBE.

a = 4.389 Å, b = 4.389 Å, c = 4.389 Å
α = 90.00°, β = 90.00°, γ = 90.00°
Last column: magnetic moment on the atom in μB.
Sites, in units of the cell vectors:
Cu 0.000 0.000 0.500  0.02
Ga 0.000 0.000 0.000  -0.02
Tc 0.500 0.500 0.500  2.76
Cu 0.000 0.500 0.000  -0.01
Cu 0.500 0.000 0.000  0.00

Calculated values
The calculation puts the density of states at the Fermi level at 0.61 states/eV/atom.

Which one is most stable, and which one is least stable? <x> is the most stable of them, while <w> is the least stable.

<w>
Here is a geometry-optimized GaCuTc3 structure from Alexandria. Energies are from PBE.

a = 4.508 Å, b = 4.508 Å, c = 4.508 Å
α = 90.00°, β = 90.00°, γ = 90.00°
Sites, in units of the cell vectors:
Tc 0.500 0.000 0.000
Tc 0.000 0.000 0.500
Cu 0.500 0.500 0.500
Tc 0.000 0.500 0.000
Ga 0.000 0.000 0.000

Calculated values
The calculation puts the density of states at the Fermi level at 1.30 states/eV/atom.

<x>
Here is a geometry-optimized GaCuTc3 structure from Alexandria. Energies are from PBE.

a = 4.481 Å, b = 4.481 Å, c = 4.481 Å
α = 90.00°, β = 90.00°, γ = 90.00°
Last column: magnetic moment on the atom in μB.
Sites, in units of the cell vectors:
Cu 0.000 0.000 0.000  0.17
Ga 0.500 0.500 0.500  -0.04
Tc 0.500 0.000 0.000  0.99
Tc 0.000 0.500 0.000  1.13
Tc 0.000 0.000 0.500  1.52

Calculated values
The calculation puts the density of states at the Fermi level at 1.38 states/eV/atom.

Which one is most stable, and which one is least stable? <x> is the most stable of them, while <w> is the least stable.

<w>
Here is a geometry-optimized ZnGaCuTc structure from Alexandria. Energies are from PBE.

a = 4.275 Å, b = 4.275 Å, c = 4.275 Å
α = 60.00°, β = 60.00°, γ = 60.00°
Sites, in units of the cell vectors:
Zn 0.000 0.000 0.000
Tc 0.750 0.750 0.750
Ga 0.500 0.500 0.500
Cu 0.250 0.250 0.250

Calculated values
The calculation puts the density of states at the Fermi level at 0.46 states/eV/atom.

<x>
Here is a geometry-optimized ZnGaCuTc structure from Alexandria. Energies are from PBE.

a = 3.365 Å, b = 3.990 Å, c = 4.103 Å
α = 90.00°, β = 90.00°, γ = 90.00°
Sites, in units of the cell vectors:
Tc 0.000 0.500 0.500
Ga 0.500 0.000 0.500
Zn 0.500 0.500 0.000
Cu 0.000 0.000 0.000

Calculated values
The calculation puts the density of states at the Fermi level at 0.51 states/eV/atom.

Which one is most stable, and which one is least stable? <x> is the most stable of them, while <w> is the least stable.

<w>
Here is a geometry-optimized GaCu3Te structure from Alexandria. Energies are from PBE.

a = 4.588 Å, b = 4.588 Å, c = 4.588 Å
α = 90.00°, β = 90.00°, γ = 90.00°
Sites, in units of the cell vectors:
Te 0.500 0.500 0.500
Cu 0.000 0.500 0.000
Cu 0.000 0.000 0.500
Ga 0.000 0.000 0.000
Cu 0.500 0.000 0.000

Calculated values
The calculation puts the density of states at the Fermi level at 0.50 states/eV/atom.

<x>
Here is a geometry-optimized GaCu3Te structure from Alexandria. Energies are from PBE.

a = 4.927 Å, b = 4.927 Å, c = 4.927 Å
α = 90.00°, β = 90.00°, γ = 90.00°
Sites, in units of the cell vectors:
Te 0.000 0.000 0.000
Cu 0.000 0.500 0.000
Cu 0.000 0.000 0.500
Cu 0.500 0.000 0.000
Ga 0.500 0.500 0.500

Calculated values
The calculation puts the density of states at the Fermi level at 0.59 states/eV/atom.

Which one is most stable, and which one is least stable? <w> is the most stable of them, while <x> is the least stable.

<w>
Here is a geometry-optimized GaCu2Te4 structure from Alexandria. Energies are from PBE.

a = 7.763 Å, b = 7.763 Å, c = 8.253 Å
α = 118.06°, β = 118.05°, γ = 90.01°
Sites, in units of the cell vectors:
Cu 0.125 0.375 0.750
Te 0.391 0.623 0.781
Cu 0.625 0.375 0.750
Cu 0.625 0.375 0.250
Ga 0.000 0.000 0.000
Te 0.860 0.592 0.719
Te 0.860 0.127 0.719
Te 0.408 0.141 0.281
Te 0.842 0.609 0.219
Cu 0.625 0.875 0.250
Te 0.873 0.140 0.281
Te 0.377 0.610 0.219
Ga 0.250 0.750 0.500
Te 0.390 0.158 0.781

Calculated values
The calculation puts the density of states at the Fermi level at 0.53 states/eV/atom.

<x>
Here is a geometry-optimized GaCu2Te4 structure from Alexandria. Energies are from PBE.

a = 5.219 Å, b = 5.219 Å, c = 8.174 Å
α = 71.38°, β = 71.38°, γ = 90.00°
Sites, in units of the cell vectors:
Cu 0.418 0.418 0.164
Te 0.500 0.000 0.000
Cu 0.582 0.582 0.836
Te 0.248 0.248 0.503
Te 0.000 0.500 0.000
Te 0.752 0.752 0.497
Ga 0.000 0.000 0.000

Calculated values
The calculation puts the density of states at the Fermi level at 0.66 states/eV/atom.

Which one is most stable, and which one is least stable? <w> is the most stable of them, while <x> is the least stable.

<w>
Here is a geometry-optimized GaCuTe3 structure from Alexandria. Energies are from PBE.

a = 5.233 Å, b = 5.233 Å, c = 5.233 Å
α = 90.00°, β = 90.00°, γ = 90.00°
Sites, in units of the cell vectors:
Te 0.500 0.000 0.000
Te 0.000 0.500 0.000
Te 0.000 0.000 0.500
Cu 0.000 0.000 0.000
Ga 0.500 0.500 0.500

Calculated values
The calculation puts the density of states at the Fermi level at 1.08 states/eV/atom.

<x>
Here is a geometry-optimized GaCuTe3 structure from Alexandria. Energies are from PBE.

a = 4.380 Å, b = 6.972 Å, c = 10.537 Å
α = 99.50°, β = 90.00°, γ = 90.00°
Sites, in units of the cell vectors:
Cu 0.250 0.356 0.189
Te 0.250 0.453 0.789
Cu 0.750 0.644 0.811
Te 0.750 0.547 0.211
Te 0.750 0.863 0.034
Te 0.250 0.105 0.356
Ga 0.250 0.127 0.621
Te 0.750 0.895 0.644
Te 0.250 0.137 0.966
Ga 0.750 0.873 0.379

Calculated values
The calculation puts the density of states at the Fermi level at 0.21 states/eV/atom.

Which one is most stable, and which one is least stable? <x> is the most stable of them, while <w> is the least stable.

<w>
Here is a geometry-optimized GaCu2Te structure from Alexandria. Energies are from PBE.

a = 4.435 Å, b = 4.435 Å, c = 8.594 Å
α = 75.04°, β = 75.04°, γ = 90.00°
Sites, in units of the cell vectors:
Ga 0.250 0.750 0.500
Cu 0.191 0.625 0.250
Cu 0.875 0.809 0.750
Te 0.000 0.000 0.000
Te 0.750 0.250 0.500
Cu 0.375 0.441 0.750
Cu 0.559 0.125 0.250
Ga 0.500 0.500 0.000

Calculated values
The calculation puts the density of states at the Fermi level at 0.42 states/eV/atom.

<x>
Here is a geometry-optimized GaCu2Te structure from Alexandria. Energies are from PBE.

a = 4.681 Å, b = 4.681 Å, c = 4.681 Å
α = 60.00°, β = 60.00°, γ = 60.00°
Sites, in units of the cell vectors:
Cu 0.250 0.250 0.250
Cu 0.750 0.750 0.750
Te 0.500 0.500 0.500
Ga 0.000 0.000 0.000

Calculated values
The calculation puts the density of states at the Fermi level at 0.49 states/eV/atom.

Which one is most stable, and which one is least stable? <w> is the most stable of them, while <x> is the least stable.